(1)
UGeS: relaxed, PBE.

a = 3.8168 Å, b = 3.8168 Å, c = 8.1581 Å
α = 90.00°, β = 90.00°, γ = 90.00°
With the nearest neighbours (Å) after each atom.
Atoms (fractional coordinates):
Ge: 0.5000 0.5000 0.0000  4 Ge 2.70
S: 0.5000 0.0000 0.6423  5 U 2.74-2.79
Ge: 0.0000 0.0000 0.0000  4 Ge 2.70
U: 0.0000 0.5000 0.6999  5 S 2.74-2.79
U: 0.5000 0.0000 0.3001  5 S 2.74-2.79
S: 0.0000 0.5000 0.3577  5 U 2.74-2.79

Properties
- Energy relative to the elements, uncorrected: -978 meV/atom
- Space-group type: No. 129
- DOS(E_F): 10.3 states/eV per cell
- Energy above the most stable polymorph in this dataset: 0.00 kcal/mol of atoms
- Crystal system: tetragonal

(2)
Pr4Ga3Pt: relaxed, PBE.

a = 4.4147 Å, b = 4.3334 Å, c = 11.0088 Å
α = 90.00°, β = 90.00°, γ = 90.00°
With the nearest neighbours (Å) after each atom.
Atoms (fractional coordinates):
Pr: 0.0000 0.5000 0.8650  5 Ga 3.18-3.24, 2 Pt 3.18
Pt: 0.5000 0.5000 0.0734  2 Ga 2.68
Pr: 0.0000 0.0000 0.1403  3 Ga 3.16-3.20, 4 Pt 3.18
Ga: 0.0000 0.5000 0.5709  2 Ga 2.68
Pr: 0.5000 0.5000 0.3487  1 Pt 3.03, 6 Ga 3.21-3.29
Pr: 0.5000 0.0000 0.6444  7 Ga 3.15-3.25
Ga: 0.5000 0.0000 0.9302  2 Pt 2.68
Ga: 0.0000 0.0000 0.4271  2 Ga 2.68

Properties
- Space-group type: No. 25
- DOS(E_F): 8.8 states/eV per cell
- Formation enthalpy at 0 K: -0.69 eV/atom
- Crystal system: orthorhombic

no.,magnetic moment (μB per formula unit),density (g/cm3)
1,2.14,9.58
2,0.00,7.63